(1)
A plane-wave DFT calculation with PBE was carried out for a geometry-optimized MnTl2Br structure.

Cell: 5.5325 5.5325 3.4935 Å, 90.00 90.00 90.00°
Last column: nearest neighbours and their distance in Å.
Element x y z (fractional)
Mn: 0.0000 0.0000 0.0000  8 Tl 3.27, 2 Mn 3.49
Tl: 0.0000 0.5000 0.5000  4 Br 3.27, 4 Mn 3.27, 2 Tl 3.49
Tl: 0.5000 0.0000 0.5000  4 Br 3.27, 4 Mn 3.27, 2 Tl 3.49
Br: 0.5000 0.5000 0.0000  8 Tl 3.27, 2 Br 3.49

Results
space-group type	P4/mmm, No. 123
formation energy from raw total energies	0.124	eV per atom
N(E_F)	0.501	states/eV per atom

(2)
A plane-wave DFT calculation with PBE was carried out for a geometry-optimized La2SiMo structure.

Cell: 6.1341 6.1341 6.1341 Å, 144.39 133.34 60.04°
Last column: nearest neighbours and their distance in Å.
Element x y z (fractional)
La: 0.0000 0.0000 0.0000  4 Si 3.16, 2 La 3.33, 4 Mo 3.41-3.47
La: 0.7151 0.2151 0.5000  4 Mo 3.13, 2 Si 3.31, 2 La 3.33
Si: 0.4274 0.4274 0.0000  2 Mo 2.48
Mo: 0.2749 0.7749 0.5000  2 Si 2.48

Results
space-group type	Imm2, No. 44
formation energy from raw total energies	-0.086	eV per atom
N(E_F)	0.735	states/eV per atom

(3)
A plane-wave DFT calculation with PBE was carried out for a geometry-optimized Y2SiP structure.

Cell: 3.4071 3.5778 7.3654 Å, 90.00 100.09 90.00°
Last column: nearest neighbours and their distance in Å.
Element x y z (fractional)
Y: 0.0494 0.0000 0.2613  2 P 2.78, 2 Si 3.02
Y: 0.9506 0.0000 0.7387  2 P 2.78, 2 Si 3.02
Si: 0.5000 0.5000 0.0000  8 Y 3.02-3.21
P: 0.5000 0.5000 0.5000  4 Y 2.78

Results
space-group type	P2/m, No. 10
formation energy from raw total energies	-0.792	eV per atom
N(E_F)	0.545	states/eV per atom

(4)
A plane-wave DFT calculation with PBE was carried out for a geometry-optimized SnHg3Os structure.

Cell: 5.2341 5.2341 5.2341 Å, 90.00 90.00 90.00°
Last column: nearest neighbours and their distance in Å.
Element x y z (fractional)
Sn: 0.0000 0.0000 0.0000  12 Hg 3.70
Hg: 0.0000 0.5000 0.5000  2 Os 2.62
Hg: 0.5000 0.0000 0.5000  2 Os 2.62
Hg: 0.5000 0.5000 0.0000  2 Os 2.62
Os: 0.5000 0.5000 0.5000  6 Hg 2.62

Results
energy	-2.413	eV/atom
space-group type	Pm-3m, No. 221
N(E_F)	0.821	states/eV per atom

| no. | volume (Å³/atom) | density (g/cm3) |
| --- | --- | --- |
| 1 | 26.73 | 8.442 |
| 2 | 24.20 | 6.894 |
| 3 | 22.10 | 4.450 |
| 4 | 28.68 | 10.546 |